{"formula": "NdPu4Th", "functional": "PBE-GGA", "state": "relaxed", "delta_e_f_ev_per_fu": 1.3, "cell": [[-3.028, 4.573, -2.859], [-5.188, -1.215, -3.140], [-5.457, 1.931, 2.178]], "species": ["Nd", "Th", "Pu", "Pu", "Pu", "Pu"], "frac_coords": [[0.250, 0.250, 0.250], [0.000, 0.000, 0.000], [0.626, 0.626, 0.123], [0.626, 0.123, 0.626], [0.626, 0.626, 0.626], [0.123, 0.626, 0.626]]}

=====

{"formula": "Ce2HoPuS4", "functional": "PBE-GGA", "state": "relaxed", "e_form_raw_ev_per_fu": -15.8, "cell": [[-2.225, -2.842, -1.603], [4.136, -4.754, 2.690], [-5.060, 1.428, 4.493]], "species": ["Ce", "Ce", "Ho", "Pu", "S", "S", "S", "S"], "frac_coords": [[0.500, 0.000, 0.500], [0.000, 0.500, 0.500], [0.000, 0.000, 0.000], [0.500, 0.500, 0.000], [0.500, 0.243, 0.239], [0.500, 0.757, 0.761], [0.000, 0.251, 0.760], [0.000, 0.749, 0.240]]}

=====

{"formula": "Pr8Pt3RhI4", "functional": "PBE-GGA", "state": "relaxed", "e_form_raw_ev_per_fu": -17.1, "cell": [[8.569, 0.000, 0.000], [0.000, 9.524, 0.670], [-4.284, -4.283, 6.059]], "species": ["Pr", "Pr", "Pr", "Pr", "Pr", "Pr", "Pr", "Pr", "Pt", "Pt", "Pt", "Rh", "I", "I", "I", "I"], "frac_coords": [[0.227, 0.687, 0.960], [0.227, 0.687, 0.453], [0.271, 0.313, 0.542], [0.734, 0.687, 0.960], [0.266, 0.313, 0.040], [0.729, 0.687, 0.458], [0.773, 0.313, 0.547], [0.773, 0.313, 0.040], [0.500, 0.500, 0.000], [0.500, 0.500, 0.500], [0.000, 0.500, 0.500], [0.000, 0.500, 0.000], [0.500, 0.000, 0.000], [0.500, 0.000, 0.500], [0.000, 0.000, 0.000], [0.000, 0.000, 0.500]]}

=====

{"formula": "As2PbW", "functional": "PBE-GGA", "state": "relaxed", "delta_e_f_ev_per_fu": 1.4, "cell": [[-1.385, 3.226, -2.646], [-3.196, 3.018, -0.009], [3.604, 5.033, 2.869]], "species": ["Pb", "As", "As", "W"], "frac_coords": [[0.250, 0.250, 0.250], [0.029, 0.029, 0.919], [0.471, 0.471, 0.581], [0.750, 0.750, 0.750]]}

=====

{"formula": "Rb2CrPtCl6", "functional": "PBE-GGA", "state": "relaxed", "e_form_raw_ev_per_fu": -10.8, "cell": [[-1.982, 2.867, -6.485], [-7.006, -1.831, 1.331], [-5.170, 4.550, -0.588]], "species": ["Cr", "Rb", "Rb", "Pt", "Cl", "Cl", "Cl", "Cl", "Cl", "Cl"], "frac_coords": [[0.500, 0.500, 0.000], [0.750, 0.250, 0.500], [0.250, 0.750, 0.500], [0.000, 0.000, 0.000], [0.250, 0.250, 0.500], [0.750, 0.750, 0.500], [0.265, 0.265, 0.000], [0.735, 0.735, 0.000], [0.735, 0.265, 0.000], [0.265, 0.735, 0.000]]}

=====

{"formula": "ZrFeOs", "functional": "PBE-GGA", "state": "relaxed", "delta_e_f_ev_per_fu": -1.0, "cell": [[1.773, -4.481, 1.265], [4.024, -1.899, -2.553], [4.531, -0.304, 2.386]], "species": ["Zr", "Zr", "Fe", "Fe", "Os", "Os"], "frac_coords": [[0.876, 0.374, 0.374], [0.124, 0.626, 0.626], [0.000, 0.000, 0.000], [0.500, 0.000, 0.000], [0.500, 0.500, 0.000], [0.500, 0.000, 0.500]]}

=====

{"formula": "Na2CaTiNb", "functional": "PBE-GGA", "state": "relaxed", "delta_e_f_ev_per_fu": 9.4, "cell": [[-1.673, -3.424, 3.464], [-3.481, -1.839, -3.499], [3.484, -3.401, -1.679]], "species": ["Na", "Na", "Nb", "Ca", "Ti"], "frac_coords": [[0.000, 0.000, 0.500], [0.500, 0.000, 0.000], [0.500, 0.500, 0.500], [0.000, 0.500, 0.000], [0.000, 0.000, 0.000]]}

=====

{"formula": "LaPr2Ti", "functional": "PBE-GGA", "state": "relaxed", "delta_e_f_ev_per_fu": 1.9, "cell": [[-3.269, 0.644, 0.896], [-2.148, -2.612, 0.682], [1.492, -0.293, 12.299]], "species": ["Pr", "Pr", "Ti", "La"], "frac_coords": [[0.081, 0.081, 0.756], [0.919, 0.919, 0.244], [0.000, 0.000, 0.000], [0.500, 0.500, 0.500]]}

=====

{"formula": "Mg4PtRh3", "functional": "PBE-GGA", "state": "relaxed", "delta_e_f_ev_per_fu": -4.8, "cell": [[4.265, 0.000, -1.151], [-0.307, 4.258, -1.137], [-0.405, -0.467, 6.975]], "species": ["Mg", "Mg", "Mg", "Mg", "Rh", "Rh", "Rh", "Pt"], "frac_coords": [[0.374, 0.374, 0.747], [0.626, 0.626, 0.253], [0.126, 0.126, 0.253], [0.874, 0.874, 0.747], [0.000, 0.500, 0.000], [0.750, 0.250, 0.499], [0.250, 0.750, 0.501], [0.500, 0.000, 0.000]]}

=====

{"formula": "Pt2SeF", "functional": "PBE-GGA", "state": "relaxed", "e_form_raw_ev_per_fu": -0.3, "cell": [[0.000, 3.092, 3.092], [3.092, 0.000, 3.092], [3.092, 3.092, 0.000]], "species": ["Se", "Pt", "Pt", "F"], "frac_coords": [[0.500, 0.500, 0.500], [0.250, 0.250, 0.250], [0.750, 0.750, 0.750], [0.000, 0.000, 0.000]]}

=====

{"formula": "ScSnI2", "functional": "PBE-GGA", "state": "relaxed", "e_form_raw_ev_per_fu": -1.6, "cell": [[-0.160, 10.328, 1.811], [-6.973, -1.458, 7.696], [-1.386, 4.133, 6.672]], "species": ["I", "I", "I", "I", "Sc", "Sc", "Sn", "Sn"], "frac_coords": [[0.474, 0.125, 0.250], [0.276, 0.625, 0.250], [0.375, 0.526, 0.750], [0.875, 0.724, 0.750], [0.500, 0.500, 0.000], [0.250, 0.750, 0.500], [0.000, 0.000, 0.000], [0.750, 0.250, 0.500]]}

=====

{"formula": "LaCr2Ag", "functional": "PBE-GGA", "state": "relaxed", "delta_e_f_ev_per_fu": 2.8, "cell": [[3.561, 0.000, 0.000], [0.000, 3.561, 0.000], [0.000, 0.000, 6.507]], "species": ["Ag", "Cr", "Cr", "La"], "frac_coords": [[0.500, 0.500, 0.750], [0.000, 0.000, 0.896], [0.000, 0.000, 0.604], [0.500, 0.500, 0.250]]}

=====

{"formula": "Tm2NpScAs4", "functional": "PBE-GGA", "state": "relaxed", "delta_e_f_ev_per_fu": -10.0, "cell": [[4.026, 0.000, 0.000], [0.000, 6.967, 0.130], [0.000, -2.427, 6.545]], "species": ["Tm", "Tm", "Np", "Sc", "As", "As", "As", "As"], "frac_coords": [[0.500, 0.000, 0.500], [0.000, 0.500, 0.500], [0.500, 0.500, 0.000], [0.000, 0.000, 0.000], [0.500, 0.243, 0.242], [0.500, 0.757, 0.758], [0.000, 0.245, 0.753], [0.000, 0.755, 0.247]]}

=====

For each record above, in turn, the calculated spin magnetization values are 22.4 4.4 0.0 0.0 4.0 3.4 0.0 1.8 0.0 0.0 0.0 0.0 3.7 Bohr magnetons per cell.